Compound: GaPbSe2
Source: Alexandria
Functional: PBE
Structure: optimized geometry

E_form (uncorrected): -0.146 eV/atom

Cell lengths 8.5686, 8.5686, 8.5686 Å; angles 30.46, 30.46, 30.46 degrees
With the nearest neighbours (Å) after each atom.
Fractional coordinates of all 4 atoms:
Ga1 0.0000 0.0000 0.0000  2 Se 2.40
Pb1 0.5000 0.5000 0.5000  6 Se 3.10
Se1 0.0980 0.0980 0.0980  1 Ga 2.40
Se2 0.9020 0.9020 0.9020  1 Ga 2.40


Compound: Ga2PbSe4
Source: Alexandria
Functional: PBE
Structure: optimized geometry

E above lowest polymorph: 0 meV per atom
E_form (uncorrected): -0.601 eV/atom

Cell lengths 15.4066, 12.7299, 12.5879 Å; angles 74.96, 52.94, 52.10 degrees
With the nearest neighbours (Å) after each atom.
Fractional coordinates of all 56 atoms:
Ga1 0.0301 0.4694 0.8618  4 Se 2.42-2.46
Ga2 0.1108 0.3887 0.3650  4 Se 2.41-2.47
Ga3 0.1382 0.8613 0.9699  4 Se 2.42-2.46
Ga4 0.1387 0.8618 0.4694  4 Se 2.42-2.46
Ga5 0.3644 0.6350 0.6113  4 Se 2.41-2.47
Ga6 0.3650 0.6356 0.1108  4 Se 2.41-2.47
Ga7 0.3887 0.1108 0.6356  4 Se 2.41-2.47
Ga8 0.4694 0.0301 0.1387  4 Se 2.42-2.46
Ga9 0.5306 0.9699 0.8613  4 Se 2.42-2.46
Ga10 0.6113 0.8892 0.3644  4 Se 2.41-2.47
Ga11 0.6350 0.3644 0.8892  4 Se 2.41-2.47
Ga12 0.6356 0.3650 0.3887  4 Se 2.41-2.47
Ga13 0.8613 0.1382 0.5306  4 Se 2.42-2.46
Ga14 0.8618 0.1387 0.0301  4 Se 2.42-2.46
Ga15 0.8892 0.6113 0.6350  4 Se 2.41-2.47
Ga16 0.9699 0.5306 0.1382  4 Se 2.42-2.46
Pb1 0.1231 0.1231 0.6269  8 Se 3.23-3.28
Pb2 0.1250 0.1250 0.1250  8 Se 3.24-3.27
Pb3 0.3731 0.3731 0.8769  8 Se 3.23-3.28
Pb4 0.3750 0.3750 0.3750  8 Se 3.24-3.27
Pb5 0.6250 0.6250 0.6250  8 Se 3.24-3.27
Pb6 0.6269 0.6269 0.1231  8 Se 3.23-3.28
Pb7 0.8750 0.8750 0.8750  8 Se 3.24-3.27
Pb8 0.8769 0.8769 0.3731  8 Se 3.23-3.28
Se1 0.0840 0.0864 0.4155  2 Ga 2.46
Se2 0.0864 0.0840 0.9141  2 Ga 2.46
Se3 0.0855 0.5841 0.4142  2 Ga 2.46
Se4 0.0859 0.5845 0.9136  2 Ga 2.46
Se5 0.1548 0.8439 0.6573  2 Ga 2.41-2.46
Se6 0.1560 0.3427 0.1561  2 Ga 2.41-2.46
Se7 0.1561 0.8452 0.1560  2 Ga 2.41-2.46
Se8 0.1842 0.3138 0.6537  2 Ga 2.42-2.47
Se9 0.3138 0.1842 0.3483  2 Ga 2.42-2.47
Se10 0.3427 0.1560 0.8452  2 Ga 2.41-2.46
Se11 0.3463 0.6517 0.8158  2 Ga 2.42-2.47
Se12 0.3483 0.6537 0.3138  2 Ga 2.42-2.47
Se13 0.4142 0.4161 0.0855  2 Ga 2.46
Se14 0.4155 0.9141 0.0840  2 Ga 2.46
Se15 0.4161 0.4142 0.5841  2 Ga 2.46
Se16 0.4159 0.9145 0.5839  2 Ga 2.46
Se17 0.5841 0.0855 0.4161  2 Ga 2.46
Se18 0.5839 0.5858 0.4159  2 Ga 2.46
Se19 0.5845 0.0859 0.9160  2 Ga 2.46
Se20 0.5858 0.5839 0.9145  2 Ga 2.46
Se21 0.6517 0.3463 0.6862  2 Ga 2.42-2.47
Se22 0.6537 0.3483 0.1842  2 Ga 2.42-2.47
Se23 0.6573 0.8440 0.1548  2 Ga 2.41-2.46
Se24 0.6862 0.8158 0.6517  2 Ga 2.42-2.47
Se25 0.8158 0.6862 0.3463  2 Ga 2.42-2.47
Se26 0.8439 0.1548 0.8440  2 Ga 2.41-2.46
Se27 0.8440 0.6573 0.8439  2 Ga 2.41-2.46
Se28 0.8452 0.1561 0.3427  2 Ga 2.41-2.46
Se29 0.9141 0.4155 0.0864  2 Ga 2.46
Se30 0.9145 0.4159 0.5858  2 Ga 2.46
Se31 0.9136 0.9160 0.0859  2 Ga 2.46
Se32 0.9160 0.9136 0.5845  2 Ga 2.46


Compound: GaPbSe
Source: Alexandria
Functional: PBE
Structure: optimized geometry

E above lowest polymorph: 0 meV per atom
E_form (uncorrected): -0.213 eV/atom

Cell lengths 3.7702, 3.7702, 6.2809 Å; angles 90.00, 90.00, 120.00 degrees
With the nearest neighbours (Å) after each atom.
Fractional coordinates of all 3 atoms:
Ga1 0.0000 0.0000 0.0000  3 Se 2.61
Pb1 0.6667 0.3333 0.3840  3 Ga 3.25, 3 Se 3.26
Se1 0.3333 0.6667 0.7714  3 Ga 2.61


Compound: GaPb2Se2
Source: Alexandria
Functional: PBE
Structure: optimized geometry

E above lowest polymorph: 122 meV per atom
E_form (uncorrected): -0.130 eV/atom

Cell lengths 6.3253, 6.3253, 6.3253 Å; angles 125.99, 125.99, 79.91 degrees
With the nearest neighbours (Å) after each atom.
Fractional coordinates of all 5 atoms:
Ga1 0.0000 0.0000 0.0000  2 Pb 3.25
Pb1 0.3347 0.3347 0.0000  4 Se 2.99, 1 Pb 3.21, 1 Ga 3.25
Pb2 0.6653 0.6653 0.0000  4 Se 2.99, 1 Pb 3.21, 1 Ga 3.25
Se1 0.2500 0.7500 0.5000  4 Pb 2.99
Se2 0.7500 0.2500 0.5000  4 Pb 2.99


Compound: Ga2PbSe2
Source: Alexandria
Functional: PBE
Structure: optimized geometry

E above lowest polymorph: 56 meV per atom
E_form (uncorrected): -0.152 eV/atom

Cell lengths 8.3035, 8.3035, 8.3035 Å; angles 152.33, 152.33, 39.53 degrees
With the nearest neighbours (Å) after each atom.
Fractional coordinates of all 5 atoms:
Ga1 0.2500 0.7500 0.5000  4 Ga 2.81, 4 Se 3.04
Ga2 0.7500 0.2500 0.5000  4 Ga 2.81, 4 Se 3.04
Pb1 0.0000 0.0000 0.0000  8 Se 3.23
Se1 0.3974 0.3974 0.0000  4 Ga 3.04, 1 Se 3.21, 4 Pb 3.23
Se2 0.6026 0.6026 0.0000  4 Ga 3.04, 1 Se 3.21, 4 Pb 3.23


Compound: GaPb2Se2
Source: Alexandria
Functional: PBE
Structure: optimized geometry

E above lowest polymorph: 0 meV per atom
E_form (uncorrected): -0.252 eV/atom

Cell lengths 8.2157, 8.2157, 4.1013 Å; angles 90.00, 90.00, 90.00 degrees
With the nearest neighbours (Å) after each atom.
Fractional coordinates of all 10 atoms:
Ga1 0.0000 0.0000 0.0000  4 Se 3.10
Ga2 0.5000 0.5000 0.0000  4 Se 3.10
Pb1 0.1549 0.3451 0.5000  6 Se 3.00-3.28
Pb2 0.3451 0.8451 0.5000  6 Se 3.00-3.28
Pb3 0.6549 0.1549 0.5000  6 Se 3.00-3.28
Pb4 0.8451 0.6549 0.5000  6 Se 3.00-3.28
Se1 0.1567 0.6567 0.0000  6 Pb 3.00-3.28, 2 Ga 3.10
Se2 0.3433 0.1567 0.0000  6 Pb 3.00-3.28, 2 Ga 3.10
Se3 0.6567 0.8433 0.0000  6 Pb 3.00-3.28, 2 Ga 3.10
Se4 0.8433 0.3433 0.0000  6 Pb 3.00-3.28, 2 Ga 3.10


Compound: GaPbSe2
Source: Alexandria
Functional: PBE
Structure: optimized geometry

E_form (uncorrected): -0.391 eV/atom

Cell lengths 4.0781, 4.0781, 21.0771 Å; angles 90.00, 90.00, 120.00 degrees
With the nearest neighbours (Å) after each atom.
Fractional coordinates of all 12 atoms:
Ga1 0.0000 0.3345 0.3333  6 Se 2.81-2.82
Ga2 0.3345 0.0000 0.6667  6 Se 2.81-2.82
Ga3 0.6655 0.6655 0.0000  6 Se 2.81-2.82
Pb1 0.0000 0.3336 0.8333  6 Se 3.07
Pb2 0.3336 0.0000 0.1667  6 Se 3.07
Pb3 0.6664 0.6664 0.5000  6 Se 3.07
Se1 0.0003 0.3333 0.0733  3 Ga 2.81-2.82, 3 Pb 3.07
Se2 0.9997 0.3330 0.5933  3 Ga 2.81-2.82, 3 Pb 3.07
Se3 0.3330 0.9997 0.4067  3 Ga 2.81-2.82, 3 Pb 3.07
Se4 0.3333 0.0003 0.9267  3 Ga 2.81-2.82, 3 Pb 3.07
Se5 0.6670 0.6667 0.2600  3 Ga 2.81-2.82, 3 Pb 3.07
Se6 0.6667 0.6670 0.7400  3 Ga 2.81-2.82, 3 Pb 3.07


Compound: GaSiPb2Se
Source: Alexandria
Functional: PBE
Structure: optimized geometry

E_form (uncorrected): 0.548 eV/atom

Cell lengths 5.7796, 5.7796, 4.7833 Å; angles 90.00, 90.00, 90.00 degrees
With the nearest neighbours (Å) after each atom.
Fractional coordinates of all 5 atoms:
Ga1 0.0000 0.0000 0.0000  8 Pb 3.75, 4 Si 4.09
Si1 0.5000 0.5000 0.0000  2 Se 2.39
Pb1 0.0000 0.5000 0.5000  2 Se 2.89
Pb2 0.5000 0.0000 0.5000  2 Se 2.89
Se1 0.5000 0.5000 0.5000  2 Si 2.39


Compound: GaSnPb2Se5
Source: Alexandria
Functional: PBE
Structure: optimized geometry

E_form (uncorrected): -0.496 eV/atom

Cell lengths 9.4306, 9.4306, 13.2091 Å; angles 90.00, 90.00, 155.38 degrees
With the nearest neighbours (Å) after each atom.
Fractional coordinates of all 18 atoms:
Ga1 0.0532 0.9468 0.5000  4 Se 2.39-2.49
Ga2 0.9468 0.0532 0.0000  4 Se 2.39-2.49
Sn1 0.2957 0.7043 0.1007  6 Se 2.79-3.05
Sn2 0.7043 0.2957 0.6007  6 Se 2.79-3.05
Pb1 0.3750 0.6250 0.3983  6 Se 2.99-3.21
Pb2 0.3751 0.6249 0.7482  3 Se 2.97-3.04
Pb3 0.6249 0.3751 0.2482  3 Se 2.97-3.04
Pb4 0.6250 0.3750 0.8983  6 Se 2.99-3.21
Se1 0.0119 0.9881 0.8433  1 Ga 2.39
Se2 0.1448 0.8552 0.0849  1 Sn 2.79, 2 Pb 2.97
Se3 0.1818 0.8182 0.4453  1 Ga 2.48
Se4 0.2101 0.7899 0.7512  2 Sn 2.83, 1 Pb 3.04
Se5 0.4609 0.5391 0.1092  2 Ga 2.49
Se6 0.5391 0.4609 0.6092  2 Ga 2.49
Se7 0.7899 0.2101 0.2512  2 Sn 2.83, 1 Pb 3.04
Se8 0.8182 0.1818 0.9453  1 Ga 2.48
Se9 0.8552 0.1448 0.5849  1 Sn 2.79, 2 Pb 2.97
Se10 0.9881 0.0119 0.3433  1 Ga 2.39


Compound: Tb6Ga2PbSe3
Source: Alexandria
Functional: PBE
Structure: optimized geometry

E_form (uncorrected): -1.152 eV/atom

Cell lengths 9.6036, 9.6036, 8.7327 Å; angles 108.68, 108.68, 24.25 degrees
With the nearest neighbours (Å) after each atom.
Fractional coordinates of all 12 atoms:
Tb1 0.0011 0.0011 0.2674  3 Se 2.87-2.94, 1 Ga 3.01, 2 Pb 3.08
Tb2 0.3266 0.3266 0.9119  3 Se 2.90-2.96, 2 Ga 3.01, 1 Pb 3.09
Tb3 0.3343 0.3343 0.4110  3 Se 2.95, 3 Ga 2.95-2.98
Tb4 0.6657 0.6657 0.5890  3 Se 2.95, 3 Ga 2.95-2.98
Tb5 0.6734 0.6734 0.0881  3 Se 2.90-2.96, 2 Ga 3.01, 1 Pb 3.09
Tb6 0.9989 0.9989 0.7326  3 Se 2.87-2.94, 1 Ga 3.01, 2 Pb 3.08
Ga1 0.1695 0.1695 0.3403  6 Tb 2.95-3.01
Ga2 0.8305 0.8305 0.6597  6 Tb 2.95-3.01
Pb1 0.5000 0.5000 0.0000  6 Tb 3.08-3.09
Se1 0.1643 0.1643 0.8344  6 Tb 2.90-2.96
Se2 0.5000 0.5000 0.5000  6 Tb 2.87-2.95
Se3 0.8357 0.8357 0.1656  6 Tb 2.90-2.96


Compound: Tm6Ga2PbSe3
Source: Alexandria
Functional: PBE
Structure: optimized geometry

E_form (uncorrected): -1.085 eV/atom

Cell lengths 9.4481, 9.4481, 8.6218 Å; angles 109.08, 109.08, 24.07 degrees
With the nearest neighbours (Å) after each atom.
Fractional coordinates of all 12 atoms:
Tm1 0.0018 0.0018 0.2694  3 Se 2.81-2.89, 1 Ga 2.94, 2 Pb 3.04
Tm2 0.3262 0.3262 0.9102  3 Se 2.85-2.92, 2 Ga 2.94, 1 Pb 3.04
Tm3 0.3337 0.3337 0.4121  3 Ga 2.89-2.92, 3 Se 2.91
Tm4 0.6663 0.6663 0.5879  3 Ga 2.89-2.92, 3 Se 2.91
Tm5 0.6738 0.6738 0.0898  3 Se 2.85-2.92, 2 Ga 2.94, 1 Pb 3.04
Tm6 0.9982 0.9982 0.7306  3 Se 2.81-2.89, 1 Ga 2.94, 2 Pb 3.04
Ga1 0.1691 0.1691 0.3395  6 Tm 2.89-2.94
Ga2 0.8309 0.8309 0.6605  6 Tm 2.89-2.94
Pb1 0.5000 0.5000 0.0000  6 Tm 3.04
Se1 0.1640 0.1640 0.8342  6 Tm 2.85-2.92
Se2 0.5000 0.5000 0.5000  6 Tm 2.81-2.91
Se3 0.8360 0.8360 0.1658  6 Tm 2.85-2.92


Compound: Ga2SiPb
Source: Alexandria
Functional: PBE
Structure: optimized geometry

E above lowest polymorph: 0 meV per atom
E_form (uncorrected): 0.156 eV/atom

Cell lengths 7.1753, 7.1753, 7.1753 Å; angles 31.49, 31.49, 31.49 degrees
With the nearest neighbours (Å) after each atom.
Fractional coordinates of all 4 atoms:
Ga1 0.2269 0.2269 0.2269  3 Si 2.56
Ga2 0.7731 0.7731 0.7731  3 Si 2.56
Si1 0.5000 0.5000 0.5000  6 Ga 2.56
Pb1 0.0000 0.0000 0.0000  6 Ga 3.13